# 1
Ho2IrBr PBE optimized geometry; formation energy from raw total energies = -929.8 meV per atom; E_tot = -5.852 eV/atom; excess energy over the best structure of this formula in the dataset = 185 meV/atom; calculated volume = 94.73 Å³ per cell
1.0
3.403 0.000 0.000
0.000 3.403 0.000
0.000 0.000 8.182
Ho Ir Br
2 1 1
Direct
0.000 0.000 0.204
0.000 0.000 0.796
0.500 0.500 0.000
0.500 0.500 0.500

# 2
Ho3IrBr3 PBE optimized geometry; formation energy from raw total energies = -1398.1 meV per atom; E_tot = -5.343 eV/atom; calculated volume = 416.11 Å³ per cell
1.0
8.530 0.000 0.000
0.000 4.128 0.000
-0.241 0.000 11.818
Ho Ir Br
6 2 6
Direct
0.097 0.250 0.324
0.151 0.250 0.861
0.262 0.750 0.097
0.738 0.250 0.903
0.849 0.750 0.139
0.903 0.750 0.676
0.050 0.250 0.095
0.950 0.750 0.905
0.131 0.250 0.600
0.333 0.750 0.354
0.435 0.750 0.870
0.565 0.250 0.130
0.667 0.250 0.646
0.869 0.750 0.400

# 3
Ho2IrBr PBE optimized geometry; formation energy from raw total energies = -1114.3 meV per atom; E_tot = -6.037 eV/atom; excess energy over the best structure of this formula in the dataset = 0 meV/atom; calculated volume = 319.91 Å³ per cell
1.0
4.039 0.000 0.000
-2.020 3.498 0.000
0.000 0.000 22.639
Ho Ir Br
6 3 3
Direct
0.000 0.000 0.230
0.000 0.000 0.770
0.333 0.667 0.437
0.333 0.667 0.897
0.667 0.333 0.103
0.667 0.333 0.563
0.000 0.000 0.500
0.333 0.667 0.167
0.667 0.333 0.833
0.000 0.000 0.000
0.333 0.667 0.667
0.667 0.333 0.333

# 4
Ho2IrBr2 PBE optimized geometry; formation energy from raw total energies = -1352.7 meV per atom; E_tot = -5.625 eV/atom; calculated volume = 290.32 Å³ per cell
1.0
11.504 -2.041 0.000
11.504 2.041 0.000
-1.637 0.000 6.184
Ho Ir Br
4 2 4
Direct
0.160 0.160 0.300
0.307 0.307 0.167
0.693 0.693 0.833
0.840 0.840 0.700
0.257 0.257 0.686
0.743 0.743 0.314
0.097 0.097 0.865
0.417 0.417 0.603
0.583 0.583 0.397
0.903 0.903 0.135

# 5
LaHoIrBr PBE optimized geometry; formation energy from raw total energies = -1148.7 meV per atom; E_tot = -6.158 eV/atom; calculated volume = 343.82 Å³ per cell
1.0
4.111 0.000 0.000
-2.055 3.560 0.000
0.000 0.000 23.495
La Ho Ir Br
3 3 3 3
Direct
0.000 0.000 0.000
0.333 0.667 0.667
0.667 0.333 0.333
0.000 0.000 0.794
0.333 0.667 0.460
0.667 0.333 0.127
0.000 0.000 0.400
0.333 0.667 0.066
0.667 0.333 0.733
0.000 0.000 0.225
0.333 0.667 0.892
0.667 0.333 0.558

# 6
K2HoBr6 PBE optimized geometry; formation energy from raw total energies = -1480.7 meV per atom; E_tot = -3.349 eV/atom; calculated volume = 283.68 Å³ per cell
1.0
4.479 0.000 0.000
0.000 7.417 4.270
0.000 -7.417 4.270
K Ho Br
2 1 6
Direct
0.000 0.167 0.833
0.000 0.833 0.167
0.500 0.501 0.501
0.000 0.266 0.500
0.000 0.500 0.266
0.000 0.736 0.736
0.500 0.146 0.146
0.500 0.500 0.855
0.500 0.855 0.500

# 7
K2HoBr5 PBE optimized geometry; formation energy from raw total energies = -1800.9 meV per atom; E_tot = -3.693 eV/atom; excess energy over the best structure of this formula in the dataset = 23 meV/atom; calculated volume = 716.97 Å³ per cell
1.0
2.861 -8.313 0.000
2.861 8.313 0.000
0.000 0.000 15.072
K Ho Br
4 2 10
Direct
0.145 0.855 0.563
0.145 0.855 0.937
0.855 0.145 0.063
0.855 0.145 0.437
0.162 0.838 0.250
0.838 0.162 0.750
0.044 0.956 0.124
0.044 0.956 0.376
0.278 0.722 0.112
0.278 0.722 0.388
0.317 0.683 0.750
0.683 0.317 0.250
0.722 0.278 0.612
0.722 0.278 0.888
0.956 0.044 0.624
0.956 0.044 0.876

# 8
K2HoBr5 PBE optimized geometry; formation energy from raw total energies = -1824.1 meV per atom; E_tot = -3.716 eV/atom; excess energy over the best structure of this formula in the dataset = 0 meV/atom; calculated volume = 1048.95 Å³ per cell
1.0
13.521 0.000 0.000
0.000 9.066 0.000
0.000 0.000 8.557
K Ho Br
8 4 20
Direct
0.171 0.006 0.069
0.171 0.494 0.069
0.329 0.506 0.569
0.329 0.994 0.569
0.671 0.006 0.431
0.671 0.494 0.431
0.829 0.506 0.931
0.829 0.994 0.931
0.005 0.250 0.575
0.495 0.750 0.075
0.505 0.250 0.925
0.995 0.750 0.425
0.012 0.250 0.914
0.067 0.546 0.667
0.067 0.954 0.667
0.182 0.250 0.395
0.198 0.750 0.352
0.302 0.250 0.852
0.318 0.750 0.895
0.433 0.046 0.167
0.433 0.454 0.167
0.488 0.750 0.414
0.512 0.250 0.586
0.567 0.546 0.833
0.567 0.954 0.833
0.682 0.250 0.105
0.698 0.750 0.148
0.802 0.250 0.648
0.818 0.750 0.605
0.933 0.046 0.333
0.933 0.454 0.333
0.988 0.750 0.086

# 9
KHoBr3 PBE optimized geometry; formation energy from raw total energies = -1504.4 meV per atom; E_tot = -3.643 eV/atom; calculated volume = 176.70 Å³ per cell
1.0
5.611 0.000 0.000
0.000 5.611 0.000
0.000 0.000 5.611
K Ho Br
1 1 3
Direct
0.000 0.000 0.000
0.500 0.500 0.500
0.000 0.500 0.500
0.500 0.000 0.500
0.500 0.500 0.000

# 10
K2HoBr4 PBE optimized geometry; formation energy from raw total energies = -1562.2 meV per atom; E_tot = -3.486 eV/atom; calculated volume = 529.55 Å³ per cell
1.0
5.590 0.000 0.000
0.000 5.590 0.000
0.000 0.000 16.947
K Ho Br
4 2 8
Direct
0.000 0.000 0.140
0.000 0.000 0.860
0.500 0.500 0.360
0.500 0.500 0.640
0.000 0.000 0.500
0.500 0.500 0.000
0.000 0.000 0.333
0.000 0.000 0.667
0.000 0.500 0.000
0.000 0.500 0.500
0.500 0.000 0.000
0.500 0.000 0.500
0.500 0.500 0.167
0.500 0.500 0.833

# 11
K3HoBr8 PBE optimized geometry; formation energy from raw total energies = -1343.1 meV per atom; E_tot = -3.114 eV/atom; calculated volume = 436.69 Å³ per cell
1.0
-3.722 3.722 7.880
3.722 -3.722 7.880
3.722 3.722 -7.880
K Ho Br
3 1 8
Direct
0.000 0.000 0.000
0.250 0.750 0.500
0.750 0.250 0.500
0.500 0.500 0.000
0.161 0.161 0.547
0.161 0.615 0.000
0.385 0.385 0.547
0.385 0.839 0.000
0.615 0.161 0.000
0.615 0.615 0.453
0.839 0.385 0.000
0.839 0.839 0.453

# 12
KHoBr4 PBE optimized geometry; formation energy from raw total energies = -1821.3 meV per atom; E_tot = -3.882 eV/atom; calculated volume = 475.43 Å³ per cell
1.0
13.696 0.000 0.000
0.000 4.264 0.000
-1.917 0.000 8.140
K Ho Br
2 2 8
Direct
0.000 0.000 0.000
0.500 0.500 0.000
0.000 0.500 0.500
0.500 0.000 0.500
0.117 0.000 0.413
0.117 0.500 0.814
0.383 0.000 0.186
0.383 0.500 0.587
0.617 0.000 0.814
0.617 0.500 0.413
0.883 0.000 0.587
0.883 0.500 0.186

# 13
KLi2HoBr6 PBE optimized geometry; formation energy from raw total energies = -1692.9 meV per atom; E_tot = -3.647 eV/atom; calculated volume = 304.84 Å³ per cell
1.0
3.635 2.099 6.662
-3.635 2.099 6.662
0.000 -4.197 6.662
K Li Ho Br
1 2 1 6
Direct
0.000 0.000 0.000
0.286 0.286 0.286
0.795 0.795 0.795
0.482 0.482 0.482
0.067 0.642 0.462
0.216 0.546 0.890
0.462 0.067 0.642
0.546 0.890 0.216
0.642 0.462 0.067
0.890 0.216 0.546

# 14
KHoMg2Br8 PBE optimized geometry; formation energy from raw total energies = -1567.8 meV per atom; E_tot = -3.422 eV/atom; calculated volume = 380.08 Å³ per cell
1.0
6.535 0.000 0.000
0.167 6.818 0.000
0.040 0.031 8.530
K Ho Mg Br
1 1 2 8
Direct
0.000 0.000 0.000
0.000 0.000 0.500
0.499 0.499 0.239
0.501 0.501 0.761
0.250 0.818 0.723
0.252 0.819 0.277
0.270 0.331 0.499
0.284 0.363 0.000
0.716 0.637 0.000
0.730 0.669 0.501
0.748 0.181 0.723
0.750 0.182 0.277

# 15
KHoMgBr6 PBE optimized geometry; formation energy from raw total energies = -1728.9 meV per atom; E_tot = -3.652 eV/atom; calculated volume = 645.78 Å³ per cell
1.0
7.144 0.000 0.000
-3.572 6.187 0.000
0.000 0.000 14.609
K Ho Mg Br
2 2 2 12
Direct
0.000 0.000 0.000
0.000 0.000 0.500
0.333 0.667 0.250
0.667 0.333 0.750
0.333 0.667 0.750
0.667 0.333 0.250
0.010 0.377 0.642
0.010 0.633 0.858
0.367 0.377 0.858
0.367 0.990 0.642
0.377 0.010 0.142
0.377 0.367 0.358
0.623 0.633 0.642
0.623 0.990 0.858
0.633 0.010 0.358
0.633 0.623 0.142
0.990 0.367 0.142
0.990 0.623 0.358

# 16
K2NaHoBr6 PBE optimized geometry; formation energy from raw total energies = -1787.2 meV per atom; E_tot = -3.600 eV/atom; calculated volume = 687.17 Å³ per cell
1.0
7.709 0.000 0.000
0.000 8.106 0.000
-7.527 0.000 10.997
K Na Ho Br
4 2 2 12
Direct
0.219 0.077 0.246
0.219 0.423 0.746
0.781 0.577 0.254
0.781 0.923 0.754
0.000 0.000 0.500
0.000 0.500 0.000
0.500 0.000 0.000
0.500 0.500 0.500
0.155 0.190 0.948
0.155 0.310 0.448
0.260 0.712 0.944
0.260 0.788 0.444
0.366 0.030 0.757
0.366 0.470 0.257
0.634 0.530 0.743
0.634 0.970 0.243
0.740 0.212 0.556
0.740 0.288 0.056
0.845 0.690 0.552
0.845 0.810 0.052

# 17
KNa2HoBr6 PBE optimized geometry; formation energy from raw total energies = -1727.6 meV per atom; E_tot = -3.563 eV/atom; calculated volume = 344.45 Å³ per cell
1.0
3.795 2.191 6.905
-3.795 2.191 6.905
0.000 -4.382 6.905
K Na Ho Br
1 2 1 6
Direct
0.000 0.000 0.000
0.291 0.291 0.291
0.804 0.804 0.804
0.484 0.484 0.484
0.094 0.664 0.436
0.235 0.567 0.864
0.436 0.094 0.664
0.567 0.864 0.235
0.664 0.436 0.094
0.864 0.235 0.567

# 18
KHoPbBr6 PBE optimized geometry; formation energy from raw total energies = -1552.0 meV per atom; E_tot = -3.710 eV/atom; calculated volume = 714.53 Å³ per cell
1.0
7.618 0.000 0.000
-3.809 6.598 0.000
0.000 0.000 14.216
K Ho Pb Br
2 2 2 12
Direct
0.000 0.000 0.000
0.000 0.000 0.500
0.333 0.667 0.250
0.667 0.333 0.750
0.333 0.667 0.750
0.667 0.333 0.250
0.025 0.377 0.135
0.025 0.648 0.365
0.352 0.377 0.365
0.352 0.975 0.135
0.377 0.025 0.635
0.377 0.352 0.865
0.623 0.648 0.135
0.623 0.975 0.365
0.648 0.025 0.865
0.648 0.623 0.635
0.975 0.352 0.635
0.975 0.623 0.865

# 19
KHoPb2Br8 PBE optimized geometry; formation energy from raw total energies = -1357.5 meV per atom; E_tot = -3.564 eV/atom; calculated volume = 454.83 Å³ per cell
1.0
6.838 0.000 0.000
0.000 9.211 0.000
-0.121 0.000 7.222
K Ho Pb Br
1 1 2 8
Direct
0.000 0.000 0.000
0.000 0.500 0.000
0.500 0.250 0.500
0.500 0.750 0.500
0.236 0.500 0.680
0.239 0.282 0.152
0.239 0.718 0.152
0.269 0.000 0.635
0.731 0.000 0.365
0.761 0.282 0.848
0.761 0.718 0.848
0.764 0.500 0.320

# 20
K3Rb3HoBr8 PBE optimized geometry; formation energy from raw total energies = -1678.3 meV per atom; E_tot = -3.289 eV/atom; calculated volume = 643.53 Å³ per cell
1.0
4.809 2.777 8.033
-4.809 2.777 8.033
0.000 -5.553 8.033
K Rb Ho Br
3 3 1 8
Direct
0.000 0.500 0.500
0.500 0.000 0.500
0.500 0.500 0.000
0.000 0.000 0.500
0.000 0.500 0.000
0.500 0.000 0.000
0.000 0.000 0.000
0.210 0.210 0.783
0.210 0.783 0.210
0.217 0.790 0.790
0.254 0.254 0.254
0.746 0.746 0.746
0.783 0.210 0.210
0.790 0.217 0.790
0.790 0.790 0.217